[1]
Material: Lu2FeH
Method: DFT, PBE
State: relaxed

Cell: 3.136 3.136 6.764 Å, 90.00 90.00 90.00°
Element x y z (fractional)
H1 0.500 0.500 0.500
Lu1 0.000 0.000 0.762
Lu2 0.000 0.000 0.238
Fe1 0.500 0.500 0.000

Final energy: -5.17 eV per atom

[2]
Material: LuFeH3
Method: DFT, PBE
State: relaxed

Cell: 3.438 3.438 3.438 Å, 90.00 90.00 90.00°
Element x y z (fractional)
H1 0.000 0.500 0.000
H2 0.000 0.000 0.500
H3 0.500 0.000 0.000
Lu1 0.500 0.500 0.500
Fe1 0.000 0.000 0.000

Final energy: -5.00 eV per atom

[3]
Material: Lu3Fe5H12
Method: DFT, PBE
State: relaxed

Cell: 9.489 9.489 9.489 Å, 109.47 109.47 109.47°
Element x y z (fractional)
Lu1 0.750 0.375 0.125
Lu2 0.875 0.750 0.125
Lu3 0.375 0.750 0.625
Lu4 0.250 0.125 0.375
Lu5 0.875 0.125 0.250
Lu6 0.375 0.625 0.250
Lu7 0.625 0.375 0.750
Lu8 0.125 0.875 0.750
Lu9 0.750 0.875 0.625
Lu10 0.625 0.250 0.375
Lu11 0.125 0.250 0.875
Lu12 0.250 0.625 0.875
Fe1 0.125 0.375 0.250
Fe2 0.000 0.500 0.000
Fe3 0.000 0.000 0.000
Fe4 0.375 0.250 0.125
Fe5 0.500 0.000 0.500
Fe6 0.500 0.500 0.000
Fe7 0.125 0.750 0.375
Fe8 0.750 0.125 0.875
Fe9 0.750 0.625 0.375
Fe10 0.375 0.125 0.750
Fe11 0.625 0.875 0.250
Fe12 0.500 0.500 0.500
Fe13 0.500 0.000 0.000
Fe14 0.000 0.000 0.500
Fe15 0.250 0.375 0.625
Fe16 0.250 0.875 0.125
Fe17 0.000 0.500 0.500
Fe18 0.875 0.250 0.625
Fe19 0.625 0.750 0.875
Fe20 0.875 0.625 0.750
H1 0.694 0.111 0.025
H2 0.331 0.525 0.415
H3 0.975 0.389 0.306
H4 0.525 0.194 0.111
H5 0.584 0.694 0.669
H6 0.975 0.585 0.169
H7 0.331 0.806 0.416
H8 0.085 0.916 0.111
H9 0.585 0.975 0.669
H10 0.694 0.584 0.169
H11 0.806 0.475 0.389
H12 0.831 0.915 0.025
H13 0.111 0.694 0.525
H14 0.389 0.415 0.084
H15 0.084 0.915 0.389
H16 0.416 0.111 0.585
H17 0.084 0.169 0.194
H18 0.475 0.669 0.085
H19 0.831 0.916 0.306
H20 0.111 0.416 0.085
H21 0.389 0.975 0.806
H22 0.585 0.611 0.416
H23 0.915 0.831 0.525
H24 0.806 0.331 0.916
H25 0.415 0.389 0.584
H26 0.085 0.169 0.475
H27 0.194 0.669 0.084
H28 0.169 0.084 0.694
H29 0.611 0.025 0.194
H30 0.889 0.584 0.915
H31 0.525 0.331 0.915
H32 0.584 0.889 0.415
H33 0.916 0.831 0.806
H34 0.916 0.085 0.611
H35 0.889 0.306 0.475
H36 0.169 0.085 0.975
H37 0.611 0.585 0.916
H38 0.415 0.025 0.331
H39 0.306 0.416 0.831
H40 0.194 0.525 0.611
H41 0.915 0.084 0.889
H42 0.669 0.194 0.584
H43 0.475 0.806 0.889
H44 0.025 0.415 0.831
H45 0.416 0.306 0.331
H46 0.025 0.611 0.694
H47 0.669 0.475 0.585
H48 0.306 0.889 0.975

Final energy: -5.01 eV per atom